VASP calculation (GGA+U) on an optimized crystal structure of LiNiMoO2.

a = 3.861 Å, b = 3.861 Å, c = 4.826 Å
α = 90.00°, β = 90.00°, γ = 90.00°
Fractional coordinates of all 5 atoms:
Li 0.000 0.000 0.000
Ni 0.500 0.500 0.500
Mo 0.500 0.500 0.000
O 0.000 0.500 0.500
O 0.500 0.000 0.500

Properties
Its volume is 14.4 Å³ per atom. Its symmetry is P4/mmm, No. 123. The calculated total energy comes out at -3.873 eV per atom.

***

VASP calculation (GGA+U) on an optimized crystal structure of Li2NiMoO4.

a = 5.303 Å, b = 5.303 Å, c = 5.303 Å
α = 133.27°, β = 133.27°, γ = 68.24°
Fractional coordinates of all 8 atoms:
Li 0.000 0.000 0.000
Li 0.750 0.250 0.500
Ni 0.500 0.500 0.000
Mo 0.250 0.750 0.500
O 0.019 0.519 0.500
O 0.258 0.258 0.000
O 0.481 0.981 0.500
O 0.742 0.742 0.000

Properties
Its volume is 9.7 Å³ per atom. Its symmetry is I-4m2, No. 119. The calculated total energy comes out at -5.826 eV per atom.

***

VASP calculation (GGA+U) on an optimized crystal structure of Li2Ni2Mo3O12.

a = 5.140 Å, b = 10.555 Å, c = 17.797 Å
α = 90.00°, β = 90.00°, γ = 90.00°
Fractional coordinates of all 76 atoms:
Li 0.111 0.250 0.248
Li 0.247 0.750 0.198
Li 0.253 0.250 0.698
Li 0.389 0.750 0.748
Li 0.611 0.250 0.252
Li 0.747 0.750 0.302
Li 0.753 0.250 0.802
Li 0.889 0.750 0.752
Ni 0.248 0.072 0.528
Ni 0.248 0.428 0.528
Ni 0.252 0.572 0.028
Ni 0.252 0.928 0.028
Ni 0.748 0.072 0.972
Ni 0.748 0.428 0.972
Ni 0.752 0.572 0.472
Ni 0.752 0.928 0.472
Mo 0.214 0.750 0.555
Mo 0.219 0.026 0.844
Mo 0.219 0.474 0.844
Mo 0.281 0.526 0.344
Mo 0.281 0.974 0.344
Mo 0.286 0.250 0.055
Mo 0.714 0.750 0.945
Mo 0.719 0.026 0.656
Mo 0.719 0.474 0.656
Mo 0.781 0.526 0.156
Mo 0.781 0.974 0.156
Mo 0.786 0.250 0.445
O 0.067 0.613 0.125
O 0.067 0.887 0.125
O 0.071 0.250 0.508
O 0.078 0.013 0.427
O 0.078 0.487 0.427
O 0.082 0.113 0.035
O 0.082 0.387 0.035
O 0.082 0.623 0.286
O 0.082 0.877 0.286
O 0.135 0.750 0.651
O 0.141 0.616 0.796
O 0.141 0.884 0.796
O 0.359 0.116 0.296
O 0.359 0.384 0.296
O 0.365 0.250 0.151
O 0.418 0.123 0.786
O 0.418 0.377 0.786
O 0.418 0.613 0.535
O 0.418 0.887 0.535
O 0.422 0.513 0.927
O 0.422 0.987 0.927
O 0.429 0.750 0.008
O 0.433 0.113 0.625
O 0.433 0.387 0.625
O 0.567 0.613 0.375
O 0.567 0.887 0.375
O 0.571 0.250 0.992
O 0.578 0.013 0.073
O 0.578 0.487 0.073
O 0.582 0.113 0.465
O 0.582 0.387 0.465
O 0.582 0.623 0.214
O 0.582 0.877 0.214
O 0.635 0.750 0.849
O 0.641 0.616 0.704
O 0.641 0.884 0.704
O 0.859 0.116 0.204
O 0.859 0.384 0.204
O 0.865 0.250 0.349
O 0.918 0.123 0.714
O 0.918 0.377 0.714
O 0.918 0.613 0.965
O 0.918 0.887 0.965
O 0.922 0.513 0.573
O 0.922 0.987 0.573
O 0.929 0.750 0.492
O 0.933 0.113 0.875
O 0.933 0.387 0.875

Properties
Its volume is 12.7 Å³ per atom. Its symmetry is Pnma, No. 62. The calculated total energy comes out at -6.354 eV per atom.

***

VASP calculation (GGA+U) on an optimized crystal structure of LiNiMoO4.

a = 5.332 Å, b = 5.332 Å, c = 6.521 Å
α = 90.00°, β = 90.00°, γ = 108.16°
Fractional coordinates of all 14 atoms:
Li 0.171 0.829 0.750
Li 0.829 0.171 0.250
Ni 0.500 0.500 0.000
Ni 0.500 0.500 0.500
Mo 0.149 0.851 0.250
Mo 0.851 0.149 0.750
O 0.207 0.240 0.750
O 0.240 0.207 0.250
O 0.265 0.735 0.018
O 0.265 0.735 0.482
O 0.735 0.265 0.518
O 0.735 0.265 0.982
O 0.760 0.793 0.750
O 0.793 0.760 0.250

Properties
Its volume is 12.6 Å³ per atom. Its symmetry is Cmcm, No. 63. The calculated total energy comes out at -5.878 eV per atom.